1.
{"formula": "TbEuHg4", "functional": "PBE", "state": "relaxed", "crystal_system": "cubic", "space_group": "F-43m (216)", "delta_e_f_ev_per_atom": -0.2531, "density_g_cm3": 11.91, "dft_energy_ev_per_atom": -2.938, "lattice": [[-2.696, -1.991, 5.016], [2.492, -4.471, 3.193], [2.443, 1.145, 5.396]], "species": ["Eu", "Tb", "Hg", "Hg", "Hg", "Hg"], "fractional_positions": [[0.250, 0.250, 0.250], [0.000, 0.000, 0.000], [0.625, 0.625, 0.124], [0.625, 0.124, 0.625], [0.625, 0.625, 0.625], [0.124, 0.625, 0.625]]}



2.
{"formula": "EuHgTe2", "functional": "PBE", "state": "relaxed", "formation_energy_uncorrected_mev_per_atom": -705, "crystal_system": "tetragonal", "space_group": "P4/mmm (123)", "density_g_cm3": 8.74, "dft_energy_ev_per_atom": -4.919, "lattice": [[-0.216, -1.065, 3.982], [4.303, -3.020, -0.574], [3.062, 4.121, 1.269]], "species": ["Eu", "Te", "Te", "Hg"], "fractional_positions": [[0.500, 0.000, 0.000], [0.000, 0.000, 0.500], [0.000, 0.500, 0.000], [0.500, 0.500, 0.500]]}



3.
{"formula": "EuTlHgTe", "functional": "PBE", "state": "relaxed", "formation_energy_uncorrected_mev_per_atom": -590, "crystal_system": "cubic", "space_group": "F-43m (216)", "density_g_cm3": 9.32, "dft_energy_ev_per_atom": -4.611, "lattice": [[-2.575, 1.377, -4.740], [-5.411, 1.310, 0.051], [-1.599, 5.261, -0.873]], "species": ["Eu", "Tl", "Te", "Hg"], "fractional_positions": [[0.000, 0.000, 0.000], [0.500, 0.500, 0.500], [0.250, 0.250, 0.250], [0.750, 0.750, 0.750]]}



4.
{"formula": "EuThHg2", "functional": "PBE", "state": "relaxed", "e_above_lowest_polymorph_mev_per_atom": 0, "crystal_system": "tetragonal", "space_group": "P4/mmm (123)", "delta_e_f_ev_per_atom": -0.3609, "density_g_cm3": 11.33, "dft_energy_ev_per_atom": -4.935, "lattice": [[-2.623, -2.724, 0.496], [2.765, -2.538, 0.680], [-0.323, 1.715, 7.715]], "species": ["Eu", "Hg", "Hg", "Th"], "fractional_positions": [[0.500, 0.500, 0.500], [0.000, 0.000, 0.756], [0.000, 0.000, 0.244], [0.500, 0.500, 0.000]]}



5.
{"formula": "EuThHg2", "functional": "PBE", "state": "relaxed", "e_above_lowest_polymorph_mev_per_atom": 44, "crystal_system": "cubic", "space_group": "Fm-3m (225)", "delta_e_f_ev_per_atom": -0.3172, "density_g_cm3": 11.44, "dft_energy_ev_per_atom": -4.892, "lattice": [[-3.981, -3.692, -0.373], [0.463, -4.770, 2.579], [-3.130, -1.072, 4.321]], "species": ["Eu", "Hg", "Hg", "Th"], "fractional_positions": [[0.000, 0.000, 0.000], [0.250, 0.250, 0.250], [0.750, 0.750, 0.750], [0.500, 0.500, 0.500]]}



6.
{"formula": "EuThHg4", "functional": "PBE", "state": "relaxed", "crystal_system": "cubic", "space_group": "F-43m (216)", "delta_e_f_ev_per_atom": -0.1767, "density_g_cm3": 12.58, "dft_energy_ev_per_atom": -3.327, "lattice": [[6.051, 0.000, 0.000], [3.025, 5.240, 0.000], [3.025, 1.747, 4.941]], "species": ["Eu", "Hg", "Hg", "Hg", "Hg", "Th"], "fractional_positions": [[0.250, 0.250, 0.250], [0.625, 0.625, 0.124], [0.625, 0.124, 0.625], [0.625, 0.625, 0.625], [0.124, 0.625, 0.625], [0.000, 0.000, 0.000]]}



7.
{"formula": "EuThTlHg", "functional": "PBE", "state": "relaxed", "crystal_system": "cubic", "space_group": "F-43m (216)", "delta_e_f_ev_per_atom": -0.2595, "density_g_cm3": 11.13, "dft_energy_ev_per_atom": -5.350, "lattice": [[-0.410, 5.454, 0.590], [-4.687, 2.225, 1.830], [-0.213, 2.214, 5.031]], "species": ["Eu", "Tl", "Hg", "Th"], "fractional_positions": [[0.750, 0.750, 0.750], [0.000, 0.000, 0.000], [0.500, 0.500, 0.500], [0.250, 0.250, 0.250]]}



8.
{"formula": "EuThZnHg", "functional": "PBE", "state": "relaxed", "crystal_system": "cubic", "space_group": "F-43m (216)", "delta_e_f_ev_per_atom": -0.2211, "density_g_cm3": 9.97, "dft_energy_ev_per_atom": -5.039, "lattice": [[-2.544, -3.816, -2.754], [-0.926, -4.761, 2.257], [-4.985, -1.397, 1.346]], "species": ["Eu", "Zn", "Hg", "Th"], "fractional_positions": [[0.500, 0.500, 0.500], [0.250, 0.250, 0.250], [0.750, 0.750, 0.750], [0.000, 0.000, 0.000]]}



9.
{"formula": "EuTlHg", "functional": "PBE", "state": "relaxed", "crystal_system": "hexagonal", "space_group": "P-6m2 (187)", "delta_e_f_ev_per_atom": -0.3947, "density_g_cm3": 10.75, "dft_energy_ev_per_atom": -4.709, "lattice": [[-2.978, -0.942, -1.983], [3.069, -1.517, -3.890], [-1.381, -3.378, 3.679]], "species": ["Eu", "Tl", "Hg"], "fractional_positions": [[0.667, 0.667, 0.333], [0.167, 0.000, 0.000], [0.166, 0.333, 0.667]]}



10.
{"formula": "EuTlHg", "functional": "PBE", "state": "relaxed", "crystal_system": "cubic", "space_group": "F-43m (216)", "delta_e_f_ev_per_atom": -0.2997, "density_g_cm3": 9.56, "dft_energy_ev_per_atom": -4.614, "lattice": [[5.153, 0.000, 0.000], [2.577, 4.463, 0.000], [2.577, 1.488, 4.208]], "species": ["Eu", "Tl", "Hg"], "fractional_positions": [[0.000, 0.000, 0.000], [0.500, 0.500, 0.500], [0.250, 0.250, 0.250]]}



11.
{"formula": "EuTlHg", "functional": "PBE", "state": "relaxed", "crystal_system": "tetragonal", "space_group": "I4mm (107)", "delta_e_f_ev_per_atom": -0.3580, "density_g_cm3": 10.55, "dft_energy_ev_per_atom": -4.672, "lattice": [[3.911, 0.000, 0.000], [0.000, 3.911, 0.000], [-1.956, -1.956, 5.728]], "species": ["Eu", "Tl", "Hg"], "fractional_positions": [[0.291, 0.291, 0.582], [0.606, 0.606, 0.212], [0.953, 0.953, 0.905]]}



12.
{"formula": "EuTlZnHg", "functional": "PBE", "state": "relaxed", "crystal_system": "cubic", "space_group": "F-43m (216)", "delta_e_f_ev_per_atom": -0.2610, "density_g_cm3": 10.20, "dft_energy_ev_per_atom": -3.815, "lattice": [[5.233, 0.000, 0.000], [2.616, 4.532, 0.000], [2.616, 1.511, 4.272]], "species": ["Eu", "Zn", "Tl", "Hg"], "fractional_positions": [[0.250, 0.250, 0.250], [0.000, 0.000, 0.000], [0.750, 0.750, 0.750], [0.500, 0.500, 0.500]]}



13.
{"formula": "Eu2TmHg", "functional": "PBE", "state": "relaxed", "e_above_lowest_polymorph_mev_per_atom": 0, "crystal_system": "tetragonal", "space_group": "P4/mmm (123)", "delta_e_f_ev_per_atom": -0.1767, "density_g_cm3": 8.57, "dft_energy_ev_per_atom": -6.507, "lattice": [[-2.960, 1.720, 1.602], [-1.522, -3.366, 0.800], [4.328, -0.045, 8.044]], "species": ["Eu", "Eu", "Tm", "Hg"], "fractional_positions": [[0.000, 0.000, 0.782], [0.000, 0.000, 0.218], [0.500, 0.500, 0.500], [0.500, 0.500, 0.000]]}



14.
{"formula": "Eu2TmHg", "functional": "PBE", "state": "relaxed", "e_above_lowest_polymorph_mev_per_atom": 139, "crystal_system": "cubic", "space_group": "Fm-3m (225)", "delta_e_f_ev_per_atom": -0.0376, "density_g_cm3": 8.95, "dft_energy_ev_per_atom": -6.368, "lattice": [[5.612, 0.000, 0.000], [2.806, 4.860, 0.000], [2.806, 1.620, 4.582]], "species": ["Eu", "Eu", "Tm", "Hg"], "fractional_positions": [[0.250, 0.250, 0.250], [0.750, 0.750, 0.750], [0.000, 0.000, 0.000], [0.500, 0.500, 0.500]]}



15.
{"formula": "Eu2TmHg", "functional": "PBE", "state": "relaxed", "e_above_lowest_polymorph_mev_per_atom": 284, "crystal_system": "trigonal", "space_group": "R-3m (166)", "delta_e_f_ev_per_atom": 0.1070, "density_g_cm3": 7.77, "dft_energy_ev_per_atom": -6.224, "lattice": [[3.648, 0.000, 0.000], [1.824, 3.159, 0.000], [1.824, 1.053, 12.485]], "species": ["Eu", "Eu", "Tm", "Hg"], "fractional_positions": [[0.087, 0.087, 0.738], [0.913, 0.913, 0.262], [0.500, 0.500, 0.500], [0.000, 0.000, 0.000]]}



16.
{"formula": "Eu2TmHg", "functional": "PBE", "state": "relaxed", "e_above_lowest_polymorph_mev_per_atom": 81, "crystal_system": "tetragonal", "space_group": "P4/mmm (123)", "delta_e_f_ev_per_atom": -0.0961, "density_g_cm3": 9.13, "dft_energy_ev_per_atom": -6.427, "lattice": [[4.957, 0.000, 0.000], [0.000, 4.971, 0.000], [0.000, 0.000, 4.971]], "species": ["Eu", "Eu", "Tm", "Hg"], "fractional_positions": [[0.000, 0.000, 0.500], [0.000, 0.500, 0.000], [0.500, 0.500, 0.500], [0.500, 0.000, 0.000]]}